Record 1
Below is Ac3P2S2 after structural relaxation, with properties calculated at the GGA-PBE level.

The calculation puts the energy relative to the elements, uncorrected at -1.466 eV/atom. The value obtained for the density of states at the Fermi level is 8.3 states/eV/cell. As for the space group: No. 12.

Lattice parameters (Å, degrees): 4.4339 7.6962 8.4778 120.70 105.16 90.00
Last column: nearest neighbours and their distance in Å.
Sites, in units of the cell vectors:
P: 0.3537 0.2339 0.7075  5 Ac 3.03-3.19
P: 0.6463 0.7661 0.2925  5 Ac 3.03-3.19
S: 0.1294 0.3323 0.2587  4 Ac 2.95-3.07
S: 0.8706 0.6677 0.7413  4 Ac 2.95-3.07
Ac: 0.7091 0.2144 0.4181  3 S 2.95-3.07, 3 P 3.03-3.19
Ac: 0.0000 0.5000 0.0000  2 S 3.01, 4 P 3.11
Ac: 0.2909 0.7856 0.5819  3 S 2.95-3.07, 3 P 3.03-3.19

=====

Record 2
Below is CeHfB12 after structural relaxation, with properties calculated at the GGA-PBE level.

The value obtained for the density of states at the Fermi level is 5.6 states/eV/cell. As for the space group: No. 123. As for the formation energy: -210 meV per atom.

Lattice parameters (Å, degrees): 4.0808 4.0808 8.1336 90.00 90.00 90.00
Last column: nearest neighbours and their distance in Å.
Sites, in units of the cell vectors:
B: 0.5000 0.5000 0.3992  5 B 1.64-1.75
B: 0.8022 0.5000 0.7542  5 B 1.61-1.75
B: 0.5000 0.8022 0.7542  5 B 1.61-1.75
B: 0.5000 0.5000 0.6008  5 B 1.64-1.75
B: 0.5000 0.5000 0.0971  5 B 1.58-1.73
B: 0.5000 0.1978 0.7542  5 B 1.61-1.75
B: 0.5000 0.8022 0.2458  5 B 1.61-1.75
B: 0.1978 0.5000 0.7542  5 B 1.61-1.75
B: 0.8022 0.5000 0.2458  5 B 1.61-1.75
B: 0.5000 0.5000 0.9029  5 B 1.58-1.73
B: 0.1978 0.5000 0.2458  5 B 1.61-1.75
B: 0.5000 0.1978 0.2458  5 B 1.61-1.75
Hf: 0.0000 0.0000 0.0000  24 B 2.97-2.99
Ce: 0.0000 0.0000 0.5000  24 B 3.00-3.01

=====

Record 3
Below is La4HoSe5 after structural relaxation, with properties calculated at the GGA-PBE level.

The calculation puts the energy relative to the elements, uncorrected at -1.936 eV/atom. The value obtained for the density of states at the Fermi level is 5.8 states/eV/cell. As for the space group: No. 87.

Lattice parameters (Å, degrees): 6.0441 7.3811 7.3811 80.35 65.83 65.83
Last column: nearest neighbours and their distance in Å.
Sites, in units of the cell vectors:
Ho: 0.0014 0.0000 0.0000  6 Se 2.90-3.02
Se: 0.5011 0.0000 0.0000  2 Ho 3.02, 4 La 3.03
Se: 0.9020 0.3866 0.8113  1 Ho 2.90, 5 La 3.03-3.08
Se: 0.0999 0.6134 0.1887  1 Ho 2.90, 5 La 3.03-3.08
Se: 0.7134 0.1887 0.3866  1 Ho 2.90, 5 La 3.03-3.08
Se: 0.2886 0.8113 0.6134  1 Ho 2.90, 5 La 3.03-3.08
La: 0.5969 0.6010 0.2072  6 Se 3.03-3.08
La: 0.4051 0.3990 0.7928  6 Se 3.03-3.08
La: 0.1978 0.2072 0.3990  6 Se 3.03-3.08
La: 0.8041 0.7928 0.6010  6 Se 3.03-3.08

=====

Record 4
Below is Rb4H12I after structural relaxation, with properties calculated at the GGA-PBE level.

Its uncorrected energy is -46.9 eV per cell. The value obtained for the density of states at the Fermi level is 4.9 states/eV/cell. As for the space group: No. 204.

Lattice parameters (Å, degrees): 8.4908 8.4908 8.4908 109.47 109.47 109.47
Last column: nearest neighbours and their distance in Å.
Sites, in units of the cell vectors:
Rb: 0.0000 0.5000 0.0000  6 H 3.42
Rb: 0.5000 0.0000 0.0000  6 H 3.42
Rb: 0.0000 0.0000 0.5000  6 H 3.42
Rb: 0.5000 0.5000 0.5000  6 H 3.42
I: 0.0000 0.0000 0.0000  8 Rb 4.25, 12 H 4.69
H: 0.5888 0.1281 0.4607  1 H 0.77
H: 0.8719 0.5393 0.4112  1 H 0.77
H: 0.6674 0.1281 0.5393  1 H 0.77
H: 0.5393 0.4112 0.8719  1 H 0.77
H: 0.3326 0.8719 0.4607  1 H 0.77
H: 0.4112 0.8719 0.5393  1 H 0.77
H: 0.1281 0.5393 0.6674  1 H 0.77
H: 0.5393 0.6674 0.1281  1 H 0.77
H: 0.4607 0.5888 0.1281  1 H 0.77
H: 0.4607 0.3326 0.8719  1 H 0.77
H: 0.8719 0.4607 0.3326  1 H 0.77
H: 0.1281 0.4607 0.5888  1 H 0.77

=====

Record 5
Below is BaTcMo2 after structural relaxation, with properties calculated at the GGA-PBE level.

The value obtained for the density of states at the Fermi level is 5.7 states/eV/cell. The excess energy over the best structure of this formula in the dataset is 304 meV/atom. As for the space group: No. 166. As for the formation energy: 997 meV per atom.

Lattice parameters (Å, degrees): 10.0487 10.0487 10.0487 17.86 17.86 17.86
Last column: nearest neighbours and their distance in Å.
Sites, in units of the cell vectors:
Tc: 0.2500 0.2500 0.2500  6 Mo 2.60
Mo: 0.5203 0.5203 0.5203  3 Tc 2.60
Mo: 0.9797 0.9797 0.9797  3 Tc 2.60
Ba: 0.7500 0.7500 0.7500  6 Ba 3.12

=====

Record 6
Below is TlZnSnO4 after structural relaxation, with properties calculated at the GGA-PBE level.

The calculation puts the energy relative to the elements, uncorrected at -1.097 eV/atom. The value obtained for the density of states at the Fermi level is 2.2 states/eV/cell. As for the space group: No. 74.

Lattice parameters (Å, degrees): 6.6104 6.6158 6.6158 58.48 60.03 60.03
Last column: nearest neighbours and their distance in Å.
Sites, in units of the cell vectors:
Tl: 0.0000 0.5000 0.5000  6 O 2.37-2.44
Tl: 0.0000 0.0000 0.0000  6 O 2.37-2.44
Zn: 0.6060 0.6440 0.1440  4 O 2.03-2.20
Zn: 0.3940 0.3560 0.8560  4 O 2.03-2.20
O: 0.2856 0.2233 0.7233  1 Zn 2.03, 1 Sn 2.11
O: 0.7429 0.2317 0.2825  2 Sn 2.20, 1 Zn 2.20, 1 Tl 2.44
O: 0.2321 0.7767 0.2767  1 Zn 2.03, 1 Sn 2.11
O: 0.7429 0.7825 0.7317  2 Sn 2.20, 1 Zn 2.20, 1 Tl 2.44
O: 0.2571 0.7683 0.7175  2 Sn 2.20, 1 Zn 2.20, 1 Tl 2.44
O: 0.2571 0.2175 0.2683  2 Sn 2.20, 1 Zn 2.20, 1 Tl 2.44
O: 0.7144 0.7767 0.2767  1 Zn 2.03, 1 Sn 2.11
O: 0.7679 0.2233 0.7233  1 Zn 2.03, 1 Sn 2.11
Sn: 0.5000 0.0000 0.5000  6 O 2.11-2.20
Sn: 0.0000 0.0000 0.5000  6 O 2.11-2.20

=====

Record 7
Below is NaLiH2 after structural relaxation, with properties calculated at the GGA-PBE level.

The excess energy over the best structure of this formula in the dataset is 204 meV/atom. As for the space group: No. 123.

Lattice parameters (Å, degrees): 2.7478 3.8957 3.8957 90.00 90.00 90.00
Last column: nearest neighbours and their distance in Å.
Sites, in units of the cell vectors:
Li: 0.5000 0.5000 0.5000  8 H 2.38
H: 0.0000 0.0000 0.5000  4 Na 2.38, 4 Li 2.38
H: 0.0000 0.5000 0.0000  4 Na 2.38, 4 Li 2.38
Na: 0.5000 0.0000 0.0000  8 H 2.38

=====

Record 8
Below is LaCd3H after structural relaxation, with properties calculated at the GGA-PBE level.

The value obtained for the density of states at the Fermi level is 6.6 states/eV/cell. The excess energy over the best structure of this formula in the dataset is 927 meV/atom. As for the space group: No. 221.

Lattice parameters (Å, degrees): 6.4363 6.4363 6.4363 90.00 90.00 90.00
Last column: nearest neighbours and their distance in Å.
Sites, in units of the cell vectors:
Cd: 0.5000 0.0000 0.0000  2 La 3.22
Cd: 0.0000 0.0000 0.5000  2 La 3.22
Cd: 0.0000 0.5000 0.0000  2 La 3.22
La: 0.0000 0.0000 0.0000  6 Cd 3.22
H: 0.5000 0.5000 0.5000  12 Cd 4.55

=====

Record 9
Below is Ti2CuS4 after structural relaxation, with properties calculated at the GGA-PBE level.

The calculation puts the energy relative to the elements, uncorrected at -1.046 eV/atom. The value obtained for the density of states at the Fermi level is 8.0 states/eV/cell. As for the space group: No. 122.

Lattice parameters (Å, degrees): 8.3541 6.8753 6.8803 74.79 52.58 52.63
Last column: nearest neighbours and their distance in Å.
Sites, in units of the cell vectors:
Ti: 0.7557 0.2320 0.7320  6 S 2.42-2.50
Ti: 0.2802 0.7320 0.2320  6 S 2.42-2.50
Ti: 0.0180 0.4943 0.9698  6 S 2.42-2.50
Ti: 0.5180 0.9698 0.4943  6 S 2.42-2.50
S: 0.2589 0.0421 0.9441  1 Cu 2.32, 3 Ti 2.42-2.50
S: 0.2079 0.9911 0.4950  1 Cu 2.32, 3 Ti 2.42-2.50
S: 0.7550 0.9441 0.0421  1 Cu 2.32, 3 Ti 2.42-2.50
S: 0.7766 0.5201 0.4221  1 Cu 2.32, 3 Ti 2.42-2.50
S: 0.7299 0.4734 0.9689  1 Cu 2.32, 3 Ti 2.42-2.50
S: 0.2811 0.4221 0.5201  1 Cu 2.32, 3 Ti 2.42-2.50
S: 0.3059 0.4950 0.9911  1 Cu 2.32, 3 Ti 2.42-2.50
S: 0.8279 0.9689 0.4734  1 Cu 2.32, 3 Ti 2.42-2.50
Cu: 0.3925 0.6075 0.6075  4 S 2.32
Cu: 0.6425 0.8575 0.8575  4 S 2.32

=====

Record 10
Below is Ce2PuCl8 after structural relaxation, with properties calculated at the GGA-PBE level.

The calculation puts the energy relative to the elements, uncorrected at -2.060 eV/atom. The value obtained for the density of states at the Fermi level is 32.8 states/eV/cell. As for the space group: No. 8.

Lattice parameters (Å, degrees): 5.7004 7.5883 7.5883 110.18 100.09 100.09
Last column: nearest neighbours and their distance in Å.
Sites, in units of the cell vectors:
Cl: 0.5806 0.0759 0.3366  2 Ce 2.85-2.89, 1 Pu 2.93
Cl: 0.9873 0.7800 0.2194  1 Pu 2.93, 2 Ce 3.06-3.13
Cl: 0.5806 0.3366 0.0759  2 Ce 2.85-2.89, 1 Pu 2.93
Cl: 0.1766 0.3604 0.3604  2 Ce 2.92, 1 Pu 3.07
Cl: 0.7920 0.6417 0.6417  2 Ce 2.91, 1 Pu 3.25
Cl: 0.9873 0.2194 0.7800  1 Pu 2.93, 2 Ce 3.06-3.13
Cl: 0.3780 0.9332 0.6713  2 Ce 2.85-2.90, 1 Pu 2.90
Cl: 0.3780 0.6713 0.9332  2 Ce 2.85-2.90, 1 Pu 2.90
Ce: 0.4829 0.3209 0.6884  8 Cl 2.85-3.13
Ce: 0.4829 0.6884 0.3209  8 Cl 2.85-3.13
Pu: 0.1735 0.0060 0.0060  8 Cl 2.90-3.25

=====

Record 11
Below is K2BaIr after structural relaxation, with properties calculated at the GGA-PBE level.

The value obtained for the density of states at the Fermi level is 3.7 states/eV/cell. The excess energy over the best structure of this formula in the dataset is 29 meV/atom. As for the space group: No. 8. As for the formation energy: 336 meV per atom.

Lattice parameters (Å, degrees): 4.8875 4.8875 9.9500 76.33 76.33 59.59
Last column: nearest neighbours and their distance in Å.
Sites, in units of the cell vectors:
Ba: 0.4620 0.4620 0.6103  3 Ir 2.94
Ir: 0.7664 0.7664 0.6969  3 Ba 2.94
K: 0.0364 0.0364 0.8960  3 Ir 3.39-3.41
K: 0.2351 0.2351 0.2968  3 Ba 4.09-4.13

=====

Record 12
Below is Zn6AgPt after structural relaxation, with properties calculated at the GGA-PBE level.

The value obtained for the density of states at the Fermi level is 9.0 states/eV/cell. The excess energy over the best structure of this formula in the dataset is 5 meV/atom. As for the space group: No. 65. As for the formation energy: -171 meV per atom.

Lattice parameters (Å, degrees): 6.7682 6.7682 11.2240 90.00 90.00 111.08
Last column: nearest neighbours and their distance in Å.
Sites, in units of the cell vectors:
Zn: 0.5000 0.5000 0.2500  4 Ag 2.71-2.81, 8 Zn 2.81
Zn: 0.1177 0.3679 0.3781  1 Pt 2.70, 8 Zn 2.73-2.88, 3 Ag 2.77-2.78
Zn: 0.1136 0.3657 0.8717  8 Zn 2.68-2.81, 3 Pt 2.71-2.75, 1 Ag 2.83
Zn: 0.8864 0.6343 0.8717  8 Zn 2.68-2.81, 3 Pt 2.71-2.75, 1 Ag 2.83
Zn: 0.0000 0.0000 0.2500  8 Zn 2.73, 2 Pt 2.80, 2 Ag 2.87
Zn: 0.3657 0.1136 0.6283  8 Zn 2.68-2.81, 3 Pt 2.71-2.75, 1 Ag 2.83
Zn: 0.2509 0.7491 0.5057  8 Zn 2.68-2.80, 2 Pt 2.75-2.80, 2 Ag 2.78-2.87
Zn: 0.6321 0.8823 0.3781  1 Pt 2.70, 8 Zn 2.73-2.88, 3 Ag 2.77-2.78
Zn: 0.6321 0.8823 0.1219  1 Pt 2.70, 8 Zn 2.73-2.88, 3 Ag 2.77-2.78
Zn: 0.7491 0.2509 0.5057  8 Zn 2.68-2.80, 2 Pt 2.75-2.80, 2 Ag 2.78-2.87
Zn: 0.5000 0.5000 0.7500  2 Pt 2.64, 8 Zn 2.80, 2 Ag 2.80
Zn: 0.6343 0.8864 0.6283  8 Zn 2.68-2.81, 3 Pt 2.71-2.75, 1 Ag 2.83
Zn: 0.8823 0.6321 0.3781  1 Pt 2.70, 8 Zn 2.73-2.88, 3 Ag 2.77-2.78
Zn: 0.3657 0.1136 0.8717  8 Zn 2.68-2.81, 3 Pt 2.71-2.75, 1 Ag 2.83
Zn: 0.3679 0.1177 0.1219  1 Pt 2.70, 8 Zn 2.73-2.88, 3 Ag 2.77-2.78
Zn: 0.6343 0.8864 0.8717  8 Zn 2.68-2.81, 3 Pt 2.71-2.75, 1 Ag 2.83
Zn: 0.3679 0.1177 0.3781  1 Pt 2.70, 8 Zn 2.73-2.88, 3 Ag 2.77-2.78
Zn: 0.1136 0.3657 0.6283  8 Zn 2.68-2.81, 3 Pt 2.71-2.75, 1 Ag 2.83
Zn: 0.1177 0.3679 0.1219  1 Pt 2.70, 8 Zn 2.73-2.88, 3 Ag 2.77-2.78
Zn: 0.8823 0.6321 0.1219  1 Pt 2.70, 8 Zn 2.73-2.88, 3 Ag 2.77-2.78
Zn: 0.0000 0.0000 0.7500  8 Zn 2.69, 4 Pt 2.81-2.94
Zn: 0.2509 0.7491 0.9943  8 Zn 2.68-2.80, 2 Pt 2.75-2.80, 2 Ag 2.78-2.87
Zn: 0.8864 0.6343 0.6283  8 Zn 2.68-2.81, 3 Pt 2.71-2.75, 1 Ag 2.83
Zn: 0.7491 0.2509 0.9943  8 Zn 2.68-2.80, 2 Pt 2.75-2.80, 2 Ag 2.78-2.87
Ag: 0.2573 0.7427 0.2500  12 Zn 2.71-2.87
Ag: 0.7427 0.2573 0.2500  12 Zn 2.71-2.87
Ag: 0.5000 0.5000 0.9997  12 Zn 2.78-2.83
Ag: 0.5000 0.5000 0.5003  12 Zn 2.78-2.83
Pt: 0.0000 0.0000 0.0005  12 Zn 2.70-2.81
Pt: 0.7366 0.2634 0.7500  12 Zn 2.64-2.94
Pt: 0.0000 0.0000 0.4995  12 Zn 2.70-2.81
Pt: 0.2634 0.7366 0.7500  12 Zn 2.64-2.94

=====

Ρ across the listed records, respectively: 5.66 5.50 6.76 1.69 8.51 7.43 1.27 2.97 3.88 4.57 3.43 9.63 g/cm³.